The following is a GGA-PBEsol calculation of a relaxed structure of ReGe3N, from Alexandria via LeMat-Bulk.

Lattice parameters (Å, degrees): 4.1220 4.1220 4.1220 90.00 90.00 90.00
With the nearest neighbours (Å) after each atom.
Atoms (fractional coordinates):
Ge: 0.0000 0.5000 0.0000  2 N 2.06
Ge: 0.5000 0.0000 0.0000  2 N 2.06
Ge: 0.0000 0.0000 0.5000  2 N 2.06
N: 0.0000 0.0000 0.0000  6 Ge 2.06
Re: 0.5000 0.5000 0.5000  12 Ge 2.91

Output
ΔE to the lowest computed polymorph: 0.0 meV per atom
raw formation energy: 0.906 eV per atom
magnetic moment: 0.9 μB per cell
space group: Pm-3m (221)